{
  "formula": "Pr4SbTe2Au",
  "functional": "PBE",
  "state": "optimized geometry",
  "sg": "P2/m",
  "energy_ev_per_atom": -5.30,
  "formation_energy_uncorrected_mev_per_atom": -1203,
  "rho_g_cm3": 7.31,
  "lattice": [[-0.811, -0.465, -4.345], [7.700, -0.974, -1.333], [1.708, -7.598, 0.494]],
  "species": ["Pr", "Te", "Au", "Pr", "Sb", "Te", "Pr", "Pr"],
  "fractional_positions": [[0.500, 0.743, 0.252], [0.500, 0.000, 0.500], [0.500, 0.500, 0.000], [0.500, 0.257, 0.748], [0.000, 0.500, 0.500], [0.000, 0.000, 0.000], [0.000, 0.262, 0.241], [0.000, 0.738, 0.759]]
}



{
  "formula": "PrScAu2",
  "functional": "PBE",
  "state": "optimized geometry",
  "sg": "P4/mmm",
  "relative_energy_kcal_per_mol_atoms": 0.000,
  "ef_ev_per_fu": -3.069,
  "energy_ev_per_atom": -5.18,
  "rho_g_cm3": 10.61,
  "lattice": [[-0.528, 0.354, -3.446], [1.273, -3.222, -0.526], [-6.792, -2.807, 0.751]],
  "species": ["Au", "Sc", "Au", "Pr"],
  "fractional_positions": [[0.000, 0.000, 0.209], [0.500, 0.500, 0.000], [0.000, 0.000, 0.791], [0.500, 0.500, 0.500]]
}



{
  "formula": "PrSc2Au3",
  "functional": "PBE",
  "state": "optimized geometry",
  "sg": "P4/mmm",
  "ef_ev_per_fu": -4.703,
  "energy_ev_per_atom": -5.33,
  "rho_g_cm3": 10.51,
  "lattice": [[3.480, 0.000, 0.000], [0.000, 3.480, 0.000], [0.000, 0.000, 10.722]],
  "species": ["Pr", "Sc", "Au", "Sc", "Au", "Au"],
  "fractional_positions": [[0.500, 0.500, 0.500], [0.500, 0.500, 0.157], [0.000, 0.000, 0.297], [0.500, 0.500, 0.843], [0.000, 0.000, 0.000], [0.000, 0.000, 0.703]]
}



{
  "formula": "PrScAu2",
  "functional": "PBE",
  "state": "optimized geometry",
  "sg": "Pmmn",
  "relative_energy_kcal_per_mol_atoms": 0.540,
  "ef_ev_per_fu": -2.975,
  "energy_ev_per_atom": -5.16,
  "rho_g_cm3": 10.12,
  "lattice": [[-0.863, 3.453, -3.226], [-5.058, -2.028, -0.817], [-2.542, 4.238, 5.217]],
  "species": ["Sc", "Au", "Au", "Sc", "Pr", "Au", "Au", "Pr"],
  "fractional_positions": [[0.000, 0.300, 0.000], [0.500, 0.323, 0.781], [0.000, 0.677, 0.281], [0.500, 0.700, 0.500], [0.500, 0.813, 0.000], [0.000, 0.677, 0.719], [0.500, 0.323, 0.219], [0.000, 0.187, 0.500]]
}



{
  "formula": "Pr2ScAu6",
  "functional": "PBE",
  "state": "optimized geometry",
  "sg": "P-3m1",
  "ef_ev_per_fu": -5.865,
  "energy_ev_per_atom": -4.60,
  "rho_g_cm3": 12.16,
  "lattice": [[5.673, 0.000, 0.000], [0.000, 5.608, -3.238], [0.000, 0.000, 6.476]],
  "species": ["Pr", "Au", "Au", "Au", "Pr", "Sc", "Au", "Au", "Au"],
  "fractional_positions": [[0.339, 0.667, 0.333], [0.816, 0.365, 0.183], [0.184, 0.635, 0.817], [0.816, 0.817, 0.183], [0.661, 0.333, 0.667], [0.500, 0.000, 0.000], [0.184, 0.183, 0.817], [0.816, 0.817, 0.635], [0.184, 0.183, 0.365]]
}



{
  "formula": "PrScAu4",
  "functional": "PBE",
  "state": "optimized geometry",
  "sg": "P4/mmm",
  "ef_ev_per_fu": -4.455,
  "energy_ev_per_atom": -4.78,
  "rho_g_cm3": 12.78,
  "lattice": [[-0.236, 3.422, -1.417], [-3.686, -0.077, 0.427], [0.902, 3.551, 8.426]],
  "species": ["Au", "Au", "Sc", "Pr", "Au", "Au"],
  "fractional_positions": [[0.500, 0.500, 0.815], [0.500, 0.500, 0.185], [0.500, 0.500, 0.500], [0.000, 0.000, 0.000], [0.000, 0.000, 0.654], [0.000, 0.000, 0.346]]
}



{
  "formula": "PrSc3Au4",
  "functional": "PBE",
  "state": "optimized geometry",
  "sg": "R-3m",
  "ef_ev_per_fu": -6.174,
  "energy_ev_per_atom": -5.38,
  "rho_g_cm3": 10.17,
  "lattice": [[4.622, 0.000, 1.364], [2.110, 4.113, 1.364], [-0.164, -0.100, 9.066]],
  "species": ["Pr", "Au", "Sc", "Au", "Au", "Au", "Sc", "Sc"],
  "fractional_positions": [[0.000, 0.000, 0.000], [0.871, 0.871, 0.387], [0.244, 0.244, 0.268], [0.392, 0.392, 0.823], [0.129, 0.129, 0.613], [0.608, 0.608, 0.177], [0.756, 0.756, 0.732], [0.500, 0.500, 0.500]]
}



{
  "formula": "PrSc5Au4",
  "functional": "PBE",
  "state": "optimized geometry",
  "sg": "P4/mmm",
  "ef_ev_per_fu": -6.273,
  "energy_ev_per_atom": -5.58,
  "rho_g_cm3": 8.80,
  "lattice": [[3.399, 0.000, 0.000], [0.000, 3.399, 0.000], [0.000, 0.000, 18.840]],
  "species": ["Au", "Sc", "Pr", "Sc", "Au", "Sc", "Sc", "Au", "Sc", "Au"],
  "fractional_positions": [[0.000, 0.000, 0.224], [0.500, 0.500, 0.682], [0.000, 0.000, 0.000], [0.500, 0.500, 0.500], [0.000, 0.000, 0.776], [0.500, 0.500, 0.138], [0.500, 0.500, 0.862], [0.000, 0.000, 0.409], [0.500, 0.500, 0.318], [0.000, 0.000, 0.591]]
}



{
  "formula": "PrScAu2",
  "functional": "PBE",
  "state": "optimized geometry",
  "sg": "R-3m",
  "relative_energy_kcal_per_mol_atoms": 0.418,
  "ef_ev_per_fu": -2.996,
  "energy_ev_per_atom": -5.17,
  "rho_g_cm3": 10.03,
  "lattice": [[4.803, 0.000, 0.000], [2.402, 4.160, 0.000], [2.402, 1.387, 4.804]],
  "species": ["Au", "Au", "Sc", "Pr"],
  "fractional_positions": [[0.216, 0.216, 0.352], [0.784, 0.784, 0.648], [0.500, 0.500, 0.500], [0.000, 0.000, 0.000]]
}



{
  "formula": "PrSc4Au5",
  "functional": "PBE",
  "state": "optimized geometry",
  "sg": "P4/mmm",
  "ef_ev_per_fu": -7.894,
  "energy_ev_per_atom": -5.44,
  "rho_g_cm3": 10.39,
  "lattice": [[-1.959, -2.727, -0.763], [-0.544, -0.548, 3.356], [-14.200, 10.372, -0.607]],
  "species": ["Sc", "Au", "Au", "Sc", "Au", "Pr", "Sc", "Au", "Au", "Sc"],
  "fractional_positions": [[0.000, 0.000, 0.212], [0.500, 0.500, 0.875], [0.500, 0.500, 0.692], [0.000, 0.000, 0.788], [0.500, 0.500, 0.500], [0.000, 0.000, 0.000], [0.000, 0.000, 0.596], [0.500, 0.500, 0.308], [0.500, 0.500, 0.125], [0.000, 0.000, 0.404]]
}



{
  "formula": "PrScSnAu",
  "functional": "PBE",
  "state": "optimized geometry",
  "sg": "F-43m",
  "ef_ev_per_fu": -2.558,
  "energy_ev_per_atom": -5.24,
  "rho_g_cm3": 8.34,
  "lattice": [[-1.733, -4.891, -0.427], [3.377, -3.912, -0.637], [0.809, -3.396, 3.864]],
  "species": ["Au", "Sc", "Pr", "Sn"],
  "fractional_positions": [[0.750, 0.750, 0.750], [0.500, 0.500, 0.500], [0.000, 0.000, 0.000], [0.250, 0.250, 0.250]]
}



{
  "formula": "PrTm2ScAu4",
  "functional": "PBE",
  "state": "optimized geometry",
  "sg": "R-3m",
  "ef_ev_per_fu": -6.528,
  "energy_ev_per_atom": -4.96,
  "rho_g_cm3": 11.90,
  "lattice": [[-0.494, 0.410, 4.935], [3.090, -2.465, 3.023], [6.200, 5.978, 2.633]],
  "species": ["Pr", "Au", "Au", "Tm", "Au", "Sc", "Tm", "Au"],
  "fractional_positions": [[0.000, 0.000, 0.000], [0.870, 0.870, 0.389], [0.388, 0.388, 0.836], [0.246, 0.246, 0.263], [0.130, 0.130, 0.611], [0.500, 0.500, 0.500], [0.754, 0.754, 0.737], [0.612, 0.612, 0.164]]
}



{
  "formula": "PrTmSc2Au4",
  "functional": "PBE",
  "state": "optimized geometry",
  "sg": "R-3m",
  "ef_ev_per_fu": -6.286,
  "energy_ev_per_atom": -5.16,
  "rho_g_cm3": 10.93,
  "lattice": [[-1.208, -2.418, -4.010], [-2.962, -3.813, 0.275], [-8.406, 3.292, -2.368]],
  "species": ["Au", "Tm", "Pr", "Au", "Au", "Au", "Sc", "Sc"],
  "fractional_positions": [[0.120, 0.120, 0.639], [0.500, 0.500, 0.500], [0.000, 0.000, 0.000], [0.880, 0.880, 0.361], [0.608, 0.608, 0.176], [0.392, 0.392, 0.824], [0.755, 0.755, 0.734], [0.245, 0.245, 0.266]]
}



{
  "formula": "PrScZn2Au4",
  "functional": "PBE",
  "state": "optimized geometry",
  "sg": "R-3m",
  "ef_ev_per_fu": -4.730,
  "energy_ev_per_atom": -3.94,
  "rho_g_cm3": 11.45,
  "lattice": [[4.629, 0.000, 0.000], [2.315, 4.009, 0.000], [2.315, 1.336, 8.629]],
  "species": ["Au", "Sc", "Zn", "Au", "Au", "Au", "Zn", "Pr"],
  "fractional_positions": [[0.607, 0.607, 0.180], [0.500, 0.500, 0.500], [0.241, 0.241, 0.278], [0.875, 0.875, 0.376], [0.125, 0.125, 0.624], [0.393, 0.393, 0.820], [0.759, 0.759, 0.722], [0.000, 0.000, 0.000]]
}



{
  "formula": "Pr5AuSe4",
  "functional": "PBE",
  "state": "optimized geometry",
  "sg": "I4/m",
  "relative_energy_kcal_per_mol_atoms": 0.000,
  "energy_ev_per_atom": -5.76,
  "formation_energy_uncorrected_mev_per_atom": -1649,
  "rho_g_cm3": 7.25,
  "lattice": [[5.486, 0.000, 2.646], [2.743, 6.764, 1.323], [-0.195, 0.000, 7.415]],
  "species": ["Se", "Pr", "Au", "Pr", "Se", "Pr", "Se", "Pr", "Pr", "Se"],
  "fractional_positions": [[0.600, 0.600, 0.202], [0.699, 0.200, 0.404], [0.001, 0.000, 0.000], [0.303, 0.800, 0.596], [0.200, 0.202, 0.400], [0.899, 0.404, 0.800], [0.802, 0.798, 0.600], [0.103, 0.596, 0.200], [0.501, 0.000, 0.000], [0.402, 0.400, 0.798]]
}



{
  "formula": "Pr2AuSe",
  "functional": "PBE",
  "state": "optimized geometry",
  "sg": "R3m",
  "relative_energy_kcal_per_mol_atoms": 2.865,
  "energy_ev_per_atom": -5.26,
  "formation_energy_uncorrected_mev_per_atom": -1176,
  "rho_g_cm3": 7.96,
  "lattice": [[-2.562, 2.714, -1.834], [-4.080, -0.788, -0.181], [-3.218, 4.279, 6.113]],
  "species": ["Se", "Pr", "Au", "Pr"],
  "fractional_positions": [[0.499, 0.499, 0.504], [0.081, 0.081, 0.756], [0.668, 0.668, 0.997], [0.252, 0.252, 0.244]]
}



{
  "formula": "Pr3AuSe",
  "functional": "PBE",
  "state": "optimized geometry",
  "sg": "P2_1/m",
  "energy_ev_per_atom": -5.21,
  "formation_energy_uncorrected_mev_per_atom": -985,
  "rho_g_cm3": 7.51,
  "lattice": [[4.125, 0.000, 0.000], [0.000, 8.803, -1.522], [0.000, -0.511, 8.601]],
  "species": ["Se", "Se", "Pr", "Pr", "Pr", "Pr", "Pr", "Au", "Au", "Pr"],
  "fractional_positions": [[0.750, 0.846, 0.355], [0.250, 0.154, 0.645], [0.250, 0.612, 0.377], [0.250, 0.319, 0.990], [0.750, 0.681, 0.010], [0.250, 0.065, 0.286], [0.750, 0.388, 0.623], [0.250, 0.662, 0.745], [0.750, 0.338, 0.255], [0.750, 0.935, 0.714]]
}



{
  "formula": "Pr5AuSe4",
  "functional": "PBE",
  "state": "optimized geometry",
  "sg": "I4/mmm",
  "relative_energy_kcal_per_mol_atoms": 0.630,
  "energy_ev_per_atom": -5.73,
  "formation_energy_uncorrected_mev_per_atom": -1622,
  "rho_g_cm3": 7.25,
  "lattice": [[4.274, 0.000, 0.000], [0.000, 4.274, 0.000], [-2.137, -2.137, 15.256]],
  "species": ["Se", "Se", "Pr", "Se", "Pr", "Se", "Pr", "Pr", "Au", "Pr"],
  "fractional_positions": [[0.600, 0.600, 0.200], [0.400, 0.400, 0.800], [0.500, 0.500, 0.000], [0.201, 0.201, 0.402], [0.302, 0.302, 0.603], [0.799, 0.799, 0.598], [0.698, 0.698, 0.397], [0.103, 0.103, 0.205], [0.000, 0.000, 0.000], [0.897, 0.897, 0.795]]
}



{
  "formula": "Pr6AuSe5",
  "functional": "PBE",
  "state": "optimized geometry",
  "sg": "C2/m",
  "energy_ev_per_atom": -5.80,
  "formation_energy_uncorrected_mev_per_atom": -1685,
  "rho_g_cm3": 7.16,
  "lattice": [[7.330, 0.181, 1.115], [1.803, 6.220, 3.626], [0.124, 0.067, 7.420]],
  "species": ["Se", "Pr", "Pr", "Au", "Se", "Se", "Se", "Pr", "Pr", "Se", "Pr", "Pr"],
  "fractional_positions": [[0.500, 0.833, 0.335], [0.750, 0.419, 0.664], [0.250, 0.581, 0.336], [0.000, 0.000, 0.000], [0.500, 0.500, 0.000], [0.000, 0.334, 0.331], [0.000, 0.666, 0.669], [0.749, 0.749, 0.000], [0.251, 0.251, 0.000], [0.500, 0.167, 0.665], [0.250, 0.918, 0.664], [0.750, 0.082, 0.336]]
}



{
  "formula": "Pr2AuSe",
  "functional": "PBE",
  "state": "optimized geometry",
  "sg": "Cmcm",
  "relative_energy_kcal_per_mol_atoms": 0.000,
  "energy_ev_per_atom": -5.38,
  "formation_energy_uncorrected_mev_per_atom": -1301,
  "rho_g_cm3": 8.40,
  "lattice": [[-0.451, -3.355, -2.901], [4.059, 0.034, -0.671], [-0.490, -7.936, 9.254]],
  "species": ["Se", "Pr", "Pr", "Se", "Au", "Pr", "Au", "Pr"],
  "fractional_positions": [[0.250, 0.191, 0.382], [0.750, 0.685, 0.370], [0.750, 0.933, 0.866], [0.750, 0.809, 0.618], [0.250, 0.456, 0.913], [0.250, 0.315, 0.630], [0.750, 0.544, 0.087], [0.250, 0.067, 0.134]]
}



{
  "formula": "Pr5AuSe5",
  "functional": "PBE",
  "state": "optimized geometry",
  "sg": "C2/m",
  "energy_ev_per_atom": -5.69,
  "formation_energy_uncorrected_mev_per_atom": -1637,
  "rho_g_cm3": 6.42,
  "lattice": [[-2.198, 5.313, -1.956], [-1.506, -5.729, -4.439], [-5.890, -0.125, 6.280]],
  "species": ["Se", "Pr", "Se", "Pr", "Pr", "Se", "Au", "Se", "Pr", "Pr", "Se"],
  "fractional_positions": [[0.671, 0.342, 0.840], [0.162, 0.324, 0.826], [0.000, 0.000, 0.500], [0.833, 0.666, 0.659], [0.167, 0.334, 0.341], [0.672, 0.344, 0.332], [0.000, 0.000, 0.000], [0.328, 0.656, 0.668], [0.838, 0.676, 0.174], [0.500, 0.000, 0.000], [0.329, 0.658, 0.160]]
}



{
  "formula": "Pr5AuSe8",
  "functional": "PBE",
  "state": "optimized geometry",
  "sg": "I-4",
  "energy_ev_per_atom": -5.57,
  "formation_energy_uncorrected_mev_per_atom": -1634,
  "rho_g_cm3": 6.99,
  "lattice": [[-5.025, 1.195, 5.838], [-3.848, -0.791, -6.732], [4.038, -6.482, 1.559]],
  "species": ["Pr", "Pr", "Se", "Pr", "Au", "Se", "Se", "Se", "Pr", "Pr", "Se", "Se", "Se", "Se"],
  "fractional_positions": [[0.755, 0.619, 0.634], [0.500, 0.000, 0.500], [0.271, 0.250, 0.392], [0.015, 0.381, 0.136], [0.250, 0.500, 0.750], [0.649, 0.397, 0.886], [0.979, 0.121, 0.729], [0.142, 0.750, 0.021], [0.366, 0.120, 0.985], [0.864, 0.880, 0.245], [0.608, 0.879, 0.858], [0.747, 0.237, 0.351], [0.114, 0.763, 0.511], [0.489, 0.603, 0.253]]
}



{
  "formula": "Pr8AuSe6",
  "functional": "PBE",
  "state": "optimized geometry",
  "sg": "P-3",
  "energy_ev_per_atom": -5.50,
  "formation_energy_uncorrected_mev_per_atom": -1343,
  "rho_g_cm3": 6.85,
  "lattice": [[-4.098, -0.720, -0.996], [3.073, -7.447, -7.258], [-1.979, -2.917, 10.255]],
  "species": ["Pr", "Se", "Se", "Pr", "Au", "Se", "Pr", "Pr", "Se", "Pr", "Pr", "Se", "Pr", "Pr", "Se"],
  "fractional_positions": [[0.250, 0.278, 0.314], [0.749, 0.483, 0.355], [0.251, 0.355, 0.873], [0.250, 0.036, 0.722], [0.500, 0.000, 0.000], [0.749, 0.645, 0.127], [0.750, 0.722, 0.686], [0.250, 0.667, 0.333], [0.749, 0.873, 0.517], [0.750, 0.333, 0.667], [0.750, 0.314, 0.036], [0.251, 0.517, 0.645], [0.750, 0.964, 0.278], [0.250, 0.686, 0.964], [0.251, 0.127, 0.483]]
}



{
  "formula": "Pr2AuSe",
  "functional": "PBE",
  "state": "optimized geometry",
  "sg": "R-3m",
  "relative_energy_kcal_per_mol_atoms": 1.213,
  "energy_ev_per_atom": -5.33,
  "formation_energy_uncorrected_mev_per_atom": -1248,
  "rho_g_cm3": 8.08,
  "lattice": [[4.230, 0.000, 0.000], [2.115, 3.663, 0.000], [2.115, 1.221, 7.402]],
  "species": ["Se", "Pr", "Au", "Pr"],
  "fractional_positions": [[0.500, 0.500, 0.500], [0.752, 0.752, 0.745], [0.000, 0.000, 0.000], [0.248, 0.248, 0.255]]
}